No. 1
The following is a GGA-PBE calculation of a geometry-optimized EuTeO2 structure, from Alexandria via LeMat-Bulk.

```
data_EuTeO2
_chemical_formula_sum 'Eu1 Te1 O2'
_cell_length_a 3.674
_cell_length_b 3.674
_cell_length_c 6.935
_cell_angle_alpha 74.64
_cell_angle_beta 74.64
_cell_angle_gamma 60.00
_space_group_name_H-M_alt 'P 1'
_space_group_IT_number 1
loop_
_space_group_symop_operation_xyz
'x,y,z'
loop_
_atom_site_label
_atom_site_type_symbol
_atom_site_fract_x
_atom_site_fract_y
_atom_site_fract_z
Eu1 Eu 0.500 0.500 0.500
Te1 Te 0.000 0.000 0.000
O1 O 0.109 0.109 0.674
O2 O 0.891 0.891 0.326
```

Calculated values
Final energy   -7.712 eV/atom
Mass density   6.70 g/cm³
Formation energy (no corrections)   -1.879 eV/atom
Density of states at the Fermi level   5.664 states/eV per cell

No. 2
The following is a GGA-PBE calculation of a geometry-optimized Eu2TiO5 structure, from Alexandria via LeMat-Bulk.

```
data_Eu2TiO5
_chemical_formula_sum 'Eu8 Ti4 O20'
_cell_length_a 3.806
_cell_length_b 10.744
_cell_length_c 11.431
_cell_angle_alpha 90.00
_cell_angle_beta 90.00
_cell_angle_gamma 90.00
_space_group_name_H-M_alt 'P 1'
_space_group_IT_number 1
loop_
_space_group_symop_operation_xyz
'x,y,z'
loop_
_atom_site_label
_atom_site_type_symbol
_atom_site_fract_x
_atom_site_fract_y
_atom_site_fract_z
Eu1 Eu 0.250 0.635 0.561
Eu2 Eu 0.250 0.135 0.939
Eu3 Eu 0.750 0.365 0.439
Eu4 Eu 0.750 0.865 0.061
Eu5 Eu 0.750 0.893 0.718
Eu6 Eu 0.750 0.393 0.782
Eu7 Eu 0.250 0.107 0.282
Eu8 Eu 0.250 0.607 0.218
Ti1 Ti 0.250 0.682 0.878
Ti2 Ti 0.250 0.182 0.622
Ti3 Ti 0.750 0.318 0.122
Ti4 Ti 0.750 0.818 0.378
O1 O 0.750 0.506 0.603
O2 O 0.750 0.006 0.897
O3 O 0.250 0.494 0.397
O4 O 0.250 0.994 0.103
O5 O 0.750 0.771 0.541
O6 O 0.750 0.271 0.959
O7 O 0.250 0.229 0.459
O8 O 0.250 0.729 0.041
O9 O 0.750 0.734 0.882
O10 O 0.750 0.234 0.618
O11 O 0.250 0.266 0.118
O12 O 0.250 0.766 0.382
O13 O 0.250 0.765 0.730
O14 O 0.250 0.265 0.770
O15 O 0.750 0.235 0.270
O16 O 0.750 0.735 0.230
O17 O 0.250 0.520 0.844
O18 O 0.250 0.020 0.656
O19 O 0.750 0.480 0.156
O20 O 0.750 0.980 0.344
```

Calculated values
Final energy   -9.581 eV/atom
Mass density   6.14 g/cm³
Formation energy (no corrections)   -2.926 eV/atom
Density of states at the Fermi level   35.901 states/eV per cell

No. 3
The following is a GGA-PBE calculation of a geometry-optimized Eu3Tl5O12 structure, from Alexandria via LeMat-Bulk.

```
data_Eu3Tl5O12
_chemical_formula_sum 'Eu12 Tl20 O48'
_cell_length_a 11.826
_cell_length_b 11.826
_cell_length_c 11.826
_cell_angle_alpha 109.47
_cell_angle_beta 109.47
_cell_angle_gamma 109.47
_space_group_name_H-M_alt 'P 1'
_space_group_IT_number 1
loop_
_space_group_symop_operation_xyz
'x,y,z'
loop_
_atom_site_label
_atom_site_type_symbol
_atom_site_fract_x
_atom_site_fract_y
_atom_site_fract_z
Eu1 Eu 0.750 0.375 0.125
Eu2 Eu 0.875 0.750 0.125
Eu3 Eu 0.375 0.750 0.625
Eu4 Eu 0.250 0.125 0.375
Eu5 Eu 0.875 0.125 0.250
Eu6 Eu 0.375 0.625 0.250
Eu7 Eu 0.625 0.375 0.750
Eu8 Eu 0.125 0.875 0.750
Eu9 Eu 0.750 0.875 0.625
Eu10 Eu 0.625 0.250 0.375
Eu11 Eu 0.125 0.250 0.875
Eu12 Eu 0.250 0.625 0.875
Tl1 Tl 0.125 0.375 0.250
Tl2 Tl 0.000 0.500 0.000
Tl3 Tl 0.000 0.000 0.000
Tl4 Tl 0.375 0.250 0.125
Tl5 Tl 0.500 0.000 0.500
Tl6 Tl 0.500 0.500 0.000
Tl7 Tl 0.125 0.750 0.375
Tl8 Tl 0.750 0.125 0.875
Tl9 Tl 0.750 0.625 0.375
Tl10 Tl 0.375 0.125 0.750
Tl11 Tl 0.625 0.875 0.250
Tl12 Tl 0.500 0.500 0.500
Tl13 Tl 0.500 0.000 0.000
Tl14 Tl 0.000 0.000 0.500
Tl15 Tl 0.250 0.375 0.625
Tl16 Tl 0.250 0.875 0.125
Tl17 Tl 0.000 0.500 0.500
Tl18 Tl 0.875 0.250 0.625
Tl19 Tl 0.625 0.750 0.875
Tl20 Tl 0.875 0.625 0.750
O1 O 0.718 0.135 0.047
O2 O 0.329 0.547 0.412
O3 O 0.953 0.365 0.282
O4 O 0.547 0.218 0.135
O5 O 0.583 0.718 0.671
O6 O 0.953 0.588 0.171
O7 O 0.329 0.782 0.417
O8 O 0.088 0.917 0.135
O9 O 0.588 0.953 0.671
O10 O 0.718 0.583 0.171
O11 O 0.782 0.453 0.365
O12 O 0.829 0.912 0.047
O13 O 0.135 0.718 0.547
O14 O 0.365 0.412 0.083
O15 O 0.083 0.912 0.365
O16 O 0.417 0.135 0.588
O17 O 0.083 0.171 0.218
O18 O 0.453 0.671 0.088
O19 O 0.829 0.917 0.282
O20 O 0.135 0.417 0.088
O21 O 0.365 0.953 0.782
O22 O 0.588 0.635 0.417
O23 O 0.912 0.829 0.547
O24 O 0.782 0.329 0.917
O25 O 0.412 0.365 0.583
O26 O 0.088 0.171 0.453
O27 O 0.218 0.671 0.083
O28 O 0.171 0.083 0.718
O29 O 0.635 0.047 0.218
O30 O 0.865 0.583 0.912
O31 O 0.547 0.329 0.912
O32 O 0.583 0.865 0.412
O33 O 0.917 0.829 0.782
O34 O 0.917 0.088 0.635
O35 O 0.865 0.282 0.453
O36 O 0.171 0.088 0.953
O37 O 0.635 0.588 0.917
O38 O 0.412 0.047 0.329
O39 O 0.282 0.417 0.829
O40 O 0.218 0.547 0.635
O41 O 0.912 0.083 0.865
O42 O 0.671 0.218 0.583
O43 O 0.453 0.782 0.865
O44 O 0.047 0.412 0.829
O45 O 0.417 0.282 0.329
O46 O 0.047 0.635 0.718
O47 O 0.671 0.453 0.588
O48 O 0.282 0.865 0.953
```

Calculated values
Final energy   -6.479 eV/atom
Mass density   8.71 g/cm³
Formation energy (no corrections)   -1.371 eV/atom
Density of states at the Fermi level   92.390 states/eV per cell

No. 4
The following is a GGA-PBE calculation of a geometry-optimized EuTlO2 structure, from Alexandria via LeMat-Bulk.

```
data_EuTlO2
_chemical_formula_sum 'Eu1 Tl1 O2'
_cell_length_a 6.733
_cell_length_b 6.733
_cell_length_c 6.733
_cell_angle_alpha 31.16
_cell_angle_beta 31.16
_cell_angle_gamma 31.16
_space_group_name_H-M_alt 'P 1'
_space_group_IT_number 1
loop_
_space_group_symop_operation_xyz
'x,y,z'
loop_
_atom_site_label
_atom_site_type_symbol
_atom_site_fract_x
_atom_site_fract_y
_atom_site_fract_z
Eu1 Eu 0.500 0.500 0.500
Tl1 Tl 0.000 0.000 0.000
O1 O 0.227 0.227 0.227
O2 O 0.773 0.773 0.773
```

Calculated values
Final energy   -7.502 eV/atom
Mass density   8.89 g/cm³
Formation energy (no corrections)   -1.863 eV/atom
Density of states at the Fermi level   4.080 states/eV per cell